Compound: ZnFeIrO6
Source: Alexandria
Functional: PBE+U
Structure: relaxed

Electronic total energy (eV per atom): -5.943
Total moment (μB/f.u.): 4.02

a b c (Å): 5.1185 5.1185 8.8133
angles (deg): 90.00 90.00 120.00
With the nearest neighbours (Å) after each atom.
Fractional coordinates of all 18 atoms:
O: 0.3577 0.3467 0.3698  1 Ir 1.93, 1 Fe 2.00, 1 Zn 2.14
O: 0.3467 0.9890 0.6302  1 Ir 1.93, 1 Fe 2.00, 1 Zn 2.14
Fe: 0.6667 0.3333 0.7500  6 O 2.00
O: 0.3577 0.0110 0.1302  1 Ir 1.93, 1 Fe 2.00, 1 Zn 2.14
Ir: 0.3333 0.6667 0.7500  6 O 1.93
O: 0.0110 0.6533 0.8698  1 Ir 1.93, 1 Fe 2.00, 1 Zn 2.14
O: 0.3467 0.3577 0.8698  1 Ir 1.93, 1 Fe 2.00, 1 Zn 2.14
O: 0.6533 0.6423 0.1302  1 Ir 1.93, 1 Fe 2.00, 1 Zn 2.14
O: 0.6423 0.6533 0.6302  1 Ir 1.93, 1 Fe 2.00, 1 Zn 2.14
O: 0.6533 0.0110 0.3698  1 Ir 1.93, 1 Fe 2.00, 1 Zn 2.14
O: 0.9890 0.6423 0.3698  1 Ir 1.93, 1 Fe 2.00, 1 Zn 2.14
O: 0.6423 0.9890 0.8698  1 Ir 1.93, 1 Fe 2.00, 1 Zn 2.14
O: 0.9890 0.3467 0.1302  1 Ir 1.93, 1 Fe 2.00, 1 Zn 2.14
O: 0.0110 0.3577 0.6302  1 Ir 1.93, 1 Fe 2.00, 1 Zn 2.14
Zn: 0.0000 0.0000 0.0000  6 O 2.14
Fe: 0.3333 0.6667 0.2500  6 O 2.00
Zn: 0.0000 0.0000 0.5000  6 O 2.14
Ir: 0.6667 0.3333 0.2500  6 O 1.93